Model a:
VASP calculation (PBE-GGA) on a relaxed Pm2Sm4Er3 crystal.

Values from the calculation:
Crystal system ... monoclinic
Mass density ... 7.7 g cm⁻³
SG ... C2/m, No. 12
DOS(E_F) ... 12.93 states/eV per cell

Cell: 9.1387 9.1387 9.7211 Å, 103.75 103.75 22.37°
Fractional coordinates of all 9 atoms:
Pm 0.1592 0.1592 0.2050
Pm 0.8408 0.8408 0.7950
Sm 0.0131 0.0131 0.6813
Sm 0.3443 0.3443 0.4734
Sm 0.6557 0.6557 0.5266
Sm 0.9869 0.9869 0.3187
Er 0.3292 0.3292 0.1006
Er 0.5000 0.5000 0.0000
Er 0.6708 0.6708 0.8994

=====

Model b:
VASP calculation (PBE-GGA) on a relaxed Pm2Sm4Er3 crystal.

Values from the calculation:
Crystal system ... trigonal
Mass density ... 7.7 g cm⁻³
SG ... P3m1, No. 156
DOS(E_F) ... 16.33 states/eV per cell

Cell: 3.6133 3.6133 26.6155 Å, 90.00 90.00 120.00°
Fractional coordinates of all 9 atoms:
Pm 0.0000 0.0000 0.0000
Pm 0.0000 0.0000 0.2141
Sm 0.0000 0.0000 0.3481
Sm 0.0000 0.0000 0.5608
Sm 0.3333 0.6667 0.6726
Sm 0.3333 0.6667 0.8873
Er 0.0000 0.0000 0.7800
Er 0.3333 0.6667 0.1088
Er 0.3333 0.6667 0.4528

=====

Most stable one: model b, least stable one: model a.

=====

Model a:
VASP calculation (PBE-GGA) on a relaxed Pm3Sm2Er5 crystal.

Values from the calculation:
Crystal system ... orthorhombic
Mass density ... 7.5 g cm⁻³
SG ... Ibam, No. 72
DOS(E_F) ... 30.98 states/eV per cell

Cell: 12.3880 12.3880 12.3880 Å, 135.38 55.87 148.13°
Fractional coordinates of all 20 atoms:
Pm 0.1317 0.7477 0.8794
Pm 0.2500 0.2500 0.0000
Pm 0.3683 0.2477 0.6160
Pm 0.6317 0.7523 0.3840
Pm 0.7500 0.7500 0.0000
Pm 0.8683 0.2523 0.1206
Sm 0.1269 0.0989 0.2258
Sm 0.3731 0.5989 0.9720
Sm 0.6269 0.4011 0.0280
Sm 0.8731 0.9011 0.7742
Er 0.0019 0.7500 0.2519
Er 0.1245 0.4121 0.5366
Er 0.2500 0.7500 0.5000
Er 0.3755 0.9121 0.2876
Er 0.4981 0.7500 0.7481
Er 0.5019 0.2500 0.2519
Er 0.6245 0.0879 0.7124
Er 0.7500 0.2500 0.5000
Er 0.8755 0.5879 0.4634
Er 0.9981 0.2500 0.7481

=====

Model b:
VASP calculation (PBE-GGA) on a relaxed Pm3Sm2Er5 crystal.

Values from the calculation:
Crystal system ... monoclinic
Mass density ... 7.9 g cm⁻³
SG ... C2/c, No. 15
DOS(E_F) ... 34.29 states/eV per cell

Cell: 9.6420 9.6420 9.3536 Å, 108.22 108.22 113.14°
Fractional coordinates of all 20 atoms:
Pm 0.0235 0.2715 0.0486
Pm 0.2324 0.7676 0.7500
Pm 0.2715 0.0235 0.5486
Pm 0.7285 0.9765 0.4514
Pm 0.7676 0.2324 0.2500
Pm 0.9765 0.7285 0.9514
Sm 0.2300 0.4702 0.4536
Sm 0.4702 0.2300 0.9536
Sm 0.5298 0.7700 0.0464
Sm 0.7700 0.5298 0.5464
Er 0.0248 0.9752 0.7500
Er 0.1386 0.3700 0.7616
Er 0.2724 0.7276 0.2500
Er 0.3700 0.1386 0.2616
Er 0.4728 0.5272 0.2500
Er 0.5272 0.4728 0.7500
Er 0.6300 0.8614 0.7384
Er 0.7276 0.2724 0.7500
Er 0.8614 0.6300 0.2384
Er 0.9752 0.0248 0.2500

=====

Most stable one: model b, least stable one: model a.

=====

Model a:
VASP calculation (PBE-GGA) on a relaxed PmSm4Er7 crystal.

Values from the calculation:
Crystal system ... triclinic
Mass density ... 8.2 g cm⁻³
SG ... P-1, No. 2
DOS(E_F) ... 19.45 states/eV per cell

Cell: 6.5477 6.8178 9.0175 Å, 84.58 76.99 81.21°
Fractional coordinates of all 12 atoms:
Pm 0.0000 0.0000 0.0000
Sm 0.1660 0.6140 0.3102
Sm 0.3618 0.1936 0.7124
Sm 0.6382 0.8064 0.2876
Sm 0.8340 0.3860 0.6898
Er 0.0000 0.5000 0.0000
Er 0.1875 0.1053 0.3847
Er 0.3189 0.7021 0.6434
Er 0.4853 0.2498 0.0493
Er 0.5147 0.7502 0.9507
Er 0.6811 0.2979 0.3566
Er 0.8125 0.8947 0.6153

=====

Model b:
VASP calculation (PBE-GGA) on a relaxed PmSm4Er7 crystal.

Values from the calculation:
Crystal system ... monoclinic
Mass density ... 8.0 g cm⁻³
SG ... C2/m, No. 12
DOS(E_F) ... 20.07 states/eV per cell

Cell: 6.7207 6.7207 12.7018 Å, 115.00 115.00 51.75°
Fractional coordinates of all 12 atoms:
Pm 0.0000 0.0000 0.0000
Sm 0.2328 0.2328 0.6729
Sm 0.3639 0.3639 0.2236
Sm 0.6361 0.6361 0.7764
Sm 0.7672 0.7672 0.3271
Er 0.0656 0.0656 0.3194
Er 0.2110 0.2110 0.9232
Er 0.3672 0.3672 0.5022
Er 0.5000 0.5000 0.0000
Er 0.6328 0.6328 0.4978
Er 0.7890 0.7890 0.0768
Er 0.9344 0.9344 0.6806

=====

Most stable one: model a, least stable one: model b.

=====

Model a:
VASP calculation (PBE-GGA) on a relaxed Pm4SmEr6 crystal.

Values from the calculation:
Crystal system ... tetragonal
Mass density ... 7.4 g cm⁻³
SG ... I-42m, No. 121
DOS(E_F) ... 15.29 states/eV per cell

Cell: 8.4710 8.4710 8.4710 Å, 125.73 125.73 80.34°
Fractional coordinates of all 11 atoms:
Pm 0.2515 0.2515 0.6534
Pm 0.4019 0.7485 0.0000
Pm 0.5981 0.5981 0.3466
Pm 0.7485 0.4019 0.0000
Sm 0.0000 0.0000 0.0000
Er 0.0000 0.5000 0.5000
Er 0.0661 0.5658 0.0000
Er 0.4342 0.4342 0.5003
Er 0.5000 0.0000 0.5000
Er 0.5658 0.0661 0.0000
Er 0.9339 0.9339 0.4997

=====

Model b:
VASP calculation (PBE-GGA) on a relaxed Pm4SmEr6 crystal.

Values from the calculation:
Crystal system ... tetragonal
Mass density ... 7.7 g cm⁻³
SG ... I-42m, No. 121
DOS(E_F) ... 14.18 states/eV per cell

Cell: 9.6864 9.6864 9.6864 Å, 139.95 139.95 57.93°
Fractional coordinates of all 11 atoms:
Pm 0.1354 0.1354 0.6214
Pm 0.4859 0.8646 0.0000
Pm 0.5141 0.5141 0.3786
Pm 0.8646 0.4859 0.0000
Sm 0.5000 0.5000 0.0000
Er 0.0000 0.5000 0.5000
Er 0.0524 0.6962 0.0000
Er 0.3038 0.3038 0.3563
Er 0.5000 0.0000 0.5000
Er 0.6962 0.0524 0.0000
Er 0.9476 0.9476 0.6437

=====

Most stable one: model b, least stable one: model a.

=====

Model a:
VASP calculation (PBE-GGA) on a relaxed Pm5Sm3Er crystal.

Values from the calculation:
Crystal system ... monoclinic
Mass density ... 6.6 g cm⁻³
SG ... C2/m, No. 12
DOS(E_F) ... 25.84 states/eV per cell

Cell: 8.3920 8.3920 10.0140 Å, 101.09 101.09 89.56°
Fractional coordinates of all 18 atoms:
Pm 0.0910 0.5913 0.3527
Pm 0.2434 0.2434 0.4225
Pm 0.2479 0.7521 0.0000
Pm 0.2501 0.2501 0.0850
Pm 0.4087 0.9090 0.6473
Pm 0.5913 0.0910 0.3527
Pm 0.7499 0.7499 0.9150
Pm 0.7521 0.2479 0.0000
Pm 0.7566 0.7566 0.5775
Pm 0.9090 0.4087 0.6473
Sm 0.0000 0.0000 0.5000
Sm 0.0035 0.0035 0.1776
Sm 0.4900 0.4900 0.6608
Sm 0.5000 0.5000 0.0000
Sm 0.5100 0.5100 0.3392
Sm 0.9965 0.9965 0.8224
Er 0.2599 0.2599 0.7689
Er 0.7401 0.7401 0.2311

=====

Model b:
VASP calculation (PBE-GGA) on a relaxed Pm5Sm3Er crystal.

Values from the calculation:
Crystal system ... monoclinic
Mass density ... 7.2 g cm⁻³
SG ... C2/c, No. 15
DOS(E_F) ... 25.24 states/eV per cell

Cell: 8.9560 8.9560 11.6707 Å, 108.86 108.86 44.60°
Fractional coordinates of all 18 atoms:
Pm 0.1070 0.1100 0.0488
Pm 0.1100 0.1070 0.5488
Pm 0.1849 0.8151 0.7500
Pm 0.2289 0.4246 0.6488
Pm 0.4246 0.2289 0.1488
Pm 0.5754 0.7711 0.8512
Pm 0.7711 0.5754 0.3512
Pm 0.8151 0.1849 0.2500
Pm 0.8900 0.8930 0.4512
Pm 0.8930 0.8900 0.9512
Sm 0.1352 0.3423 0.8690
Sm 0.3423 0.1352 0.3690
Sm 0.5000 0.5000 0.0000
Sm 0.5000 0.5000 0.5000
Sm 0.6577 0.8648 0.6310
Sm 0.8648 0.6577 0.1310
Er 0.2659 0.7341 0.2500
Er 0.7341 0.2659 0.7500

=====

Most stable one: model b, least stable one: model a.

=====

Model a:
VASP calculation (PBE-GGA) on a relaxed Pm6SmEr12 crystal.

Values from the calculation:
Crystal system ... trigonal
Mass density ... 8.0 g cm⁻³
SG ... R-3m, No. 166
DOS(E_F) ... 31.65 states/eV per cell

Cell: 8.6892 8.6892 8.6892 Å, 98.70 98.70 98.70°
Fractional coordinates of all 19 atoms:
Pm 0.1548 0.5991 0.5991
Pm 0.4009 0.4009 0.8452
Pm 0.4009 0.8452 0.4009
Pm 0.5991 0.1548 0.5991
Pm 0.5991 0.5991 0.1548
Pm 0.8452 0.4009 0.4009
Sm 0.5000 0.5000 0.5000
Er 0.0000 0.2565 0.7435
Er 0.0000 0.7435 0.2565
Er 0.1448 0.1448 0.4188
Er 0.1448 0.4188 0.1448
Er 0.2565 0.0000 0.7435
Er 0.2565 0.7435 0.0000
Er 0.4188 0.1448 0.1448
Er 0.5812 0.8552 0.8552
Er 0.7435 0.0000 0.2565
Er 0.7435 0.2565 0.0000
Er 0.8552 0.5812 0.8552
Er 0.8552 0.8552 0.5812

=====

Model b:
VASP calculation (PBE-GGA) on a relaxed Pm6SmEr12 crystal.

Values from the calculation:
Crystal system ... trigonal
Mass density ... 8.2 g cm⁻³
SG ... R-3m, No. 166
DOS(E_F) ... 29.89 states/eV per cell

Cell: 8.6155 8.6155 8.6155 Å, 79.77 79.77 79.77°
Fractional coordinates of all 19 atoms:
Pm 0.2692 0.2692 0.6647
Pm 0.2692 0.6647 0.2692
Pm 0.3353 0.7308 0.7308
Pm 0.6647 0.2692 0.2692
Pm 0.7308 0.3353 0.7308
Pm 0.7308 0.7308 0.3353
Sm 0.5000 0.5000 0.5000
Er 0.0151 0.0151 0.6963
Er 0.0151 0.6963 0.0151
Er 0.0179 0.3627 0.3627
Er 0.3037 0.9849 0.9849
Er 0.3627 0.0179 0.3627
Er 0.3627 0.3627 0.0179
Er 0.6373 0.6373 0.9821
Er 0.6373 0.9821 0.6373
Er 0.6963 0.0151 0.0151
Er 0.9821 0.6373 0.6373
Er 0.9849 0.3037 0.9849
Er 0.9849 0.9849 0.3037

=====

Most stable one: model b, least stable one: model a.

=====

Model a:
VASP calculation (PBE-GGA) on a relaxed PmSm4Er3 crystal.

Values from the calculation:
Crystal system ... orthorhombic
Mass density ... 7.8 g cm⁻³
SG ... Cmmm, No. 65
DOS(E_F) ... 12.82 states/eV per cell

Cell: 13.3328 13.3328 3.5978 Å, 90.00 90.00 155.32°
Fractional coordinates of all 8 atoms:
Pm 0.0000 0.0000 0.0000
Sm 0.1047 0.8953 0.5000
Sm 0.2241 0.7759 0.5000
Sm 0.7759 0.2241 0.5000
Sm 0.8953 0.1047 0.5000
Er 0.3471 0.6529 0.0000
Er 0.5000 0.5000 0.5000
Er 0.6529 0.3471 0.0000

=====

Model b:
VASP calculation (PBE-GGA) on a relaxed PmSm4Er3 crystal.

Values from the calculation:
Crystal system ... orthorhombic
Mass density ... 7.8 g cm⁻³
SG ... Pmn2_1, No. 31
DOS(E_F) ... 28.01 states/eV per cell

Cell: 11.4638 7.3053 6.3061 Å, 90.00 90.00 90.00°
Fractional coordinates of all 16 atoms:
Pm 0.0000 0.1245 0.0000
Pm 0.5000 0.8755 0.5000
Sm 0.0000 0.3726 0.5025
Sm 0.0000 0.6278 0.9965
Sm 0.2472 0.6261 0.3336
Sm 0.2528 0.3739 0.8336
Sm 0.5000 0.3722 0.4965
Sm 0.5000 0.6274 0.0025
Sm 0.7472 0.3739 0.8336
Sm 0.7528 0.6261 0.3336
Er 0.0000 0.8779 0.4998
Er 0.2499 0.1225 0.3328
Er 0.2501 0.8775 0.8328
Er 0.5000 0.1221 0.9998
Er 0.7501 0.1225 0.3328
Er 0.7499 0.8775 0.8328

=====

Most stable one: model b, least stable one: model a.

=====

Model a:
VASP calculation (PBE-GGA) on a relaxed Pm7SmEr12 crystal.

Values from the calculation:
Crystal system ... cubic
Mass density ... 7.4 g cm⁻³
SG ... Im-3m, No. 229
DOS(E_F) ... 28.04 states/eV per cell

Cell: 9.7273 9.7273 9.7273 Å, 109.47 109.47 109.47°
Fractional coordinates of all 20 atoms:
Pm 0.0000 0.0000 0.5000
Pm 0.0000 0.5000 0.0000
Pm 0.0000 0.5000 0.5000
Pm 0.5000 0.0000 0.0000
Pm 0.5000 0.0000 0.5000
Pm 0.5000 0.5000 0.0000
Pm 0.5000 0.5000 0.5000
Sm 0.0000 0.0000 0.0000
Er 0.0000 0.2493 0.7507
Er 0.0000 0.7507 0.2493
Er 0.2493 0.0000 0.7507
Er 0.2493 0.2493 0.4986
Er 0.2493 0.4986 0.2493
Er 0.2493 0.7507 0.0000
Er 0.4986 0.2493 0.2493
Er 0.5014 0.7507 0.7507
Er 0.7507 0.0000 0.2493
Er 0.7507 0.2493 0.0000
Er 0.7507 0.5014 0.7507
Er 0.7507 0.7507 0.5014

=====

Model b:
VASP calculation (PBE-GGA) on a relaxed Pm7SmEr12 crystal.

Values from the calculation:
Crystal system ... trigonal
Mass density ... 7.9 g cm⁻³
SG ... R-3, No. 148
DOS(E_F) ... 36.27 states/eV per cell

Cell: 8.7487 8.7487 8.7487 Å, 86.01 86.01 86.01°
Fractional coordinates of all 20 atoms:
Pm 0.0000 0.0000 0.0000
Pm 0.1020 0.4268 0.3439
Pm 0.3439 0.1020 0.4268
Pm 0.4268 0.3439 0.1020
Pm 0.5732 0.6561 0.8980
Pm 0.6561 0.8980 0.5732
Pm 0.8980 0.5732 0.6561
Sm 0.5000 0.5000 0.5000
Er 0.0035 0.8799 0.3668
Er 0.1201 0.6332 0.9965
Er 0.2262 0.3530 0.7584
Er 0.2416 0.7738 0.6470
Er 0.3530 0.7584 0.2262
Er 0.3668 0.0035 0.8799
Er 0.6332 0.9965 0.1201
Er 0.6470 0.2416 0.7738
Er 0.7584 0.2262 0.3530
Er 0.7738 0.6470 0.2416
Er 0.8799 0.3668 0.0035
Er 0.9965 0.1201 0.6332

=====

Most stable one: model b, least stable one: model a.

=====

Model a:
VASP calculation (PBE-GGA) on a relaxed Pm12Sm2Er5 crystal.

Values from the calculation:
Crystal system ... monoclinic
Mass density ... 7.4 g cm⁻³
SG ... C2/m, No. 12
DOS(E_F) ... 25.14 states/eV per cell

Cell: 9.4072 9.4072 8.3636 Å, 90.26 90.26 60.34°
Fractional coordinates of all 19 atoms:
Pm 0.0506 0.0506 0.2111
Pm 0.1023 0.5289 0.7199
Pm 0.1130 0.6707 0.1192
Pm 0.3293 0.8870 0.8808
Pm 0.3372 0.3372 0.3709
Pm 0.4711 0.8977 0.2801
Pm 0.5289 0.1023 0.7199
Pm 0.6628 0.6628 0.6291
Pm 0.6707 0.1130 0.1192
Pm 0.8870 0.3293 0.8808
Pm 0.8977 0.4711 0.2801
Pm 0.9494 0.9494 0.7889
Sm 0.2822 0.7178 0.5000
Sm 0.7178 0.2822 0.5000
Er 0.1464 0.1464 0.5634
Er 0.2503 0.2503 0.0322
Er 0.5000 0.5000 0.0000
Er 0.7497 0.7497 0.9678
Er 0.8536 0.8536 0.4366

=====

Model b:
VASP calculation (PBE-GGA) on a relaxed Pm12Sm2Er5 crystal.

Values from the calculation:
Crystal system ... monoclinic
Mass density ... 7.5 g cm⁻³
SG ... C2/m, No. 12
DOS(E_F) ... 26.39 states/eV per cell

Cell: 10.6994 10.6994 6.2113 Å, 100.52 100.52 66.23°
Fractional coordinates of all 19 atoms:
Pm 0.0433 0.5607 0.8002
Pm 0.0567 0.0567 0.2739
Pm 0.1472 0.6447 0.3847
Pm 0.3553 0.8528 0.6153
Pm 0.3778 0.3778 0.0018
Pm 0.4393 0.9567 0.1998
Pm 0.5607 0.0433 0.8002
Pm 0.6222 0.6222 0.9982
Pm 0.6447 0.1472 0.3847
Pm 0.8528 0.3553 0.6153
Pm 0.9433 0.9433 0.7261
Pm 0.9567 0.4393 0.1998
Sm 0.2728 0.7272 0.0000
Sm 0.7272 0.2728 0.0000
Er 0.1776 0.1776 0.8589
Er 0.2853 0.2853 0.4501
Er 0.5000 0.5000 0.5000
Er 0.7147 0.7147 0.5499
Er 0.8224 0.8224 0.1411

=====

Most stable one: model b, least stable one: model a.